# 1
A plane-wave DFT calculation with meta-GGA SCAN was carried out for HoGa3 at its PBEsol-relaxed geometry.

## Properties
Magnetization (μB/cell): 0.0
Volume (Å³ per cell): 363.53
VASP energy (eV/atom): -25.12
Space group: No. 166
Calculated density (Mg/m³): 8.544

The structure in extended XYZ format:
```
20
Lattice="-0.669 -1.676 5.725 4.794 -1.599 3.239 2.765 9.963 6.387" Properties=species:S:1:pos:R:3 pbc="T T T"
Ga 1.038 1.587 2.331
Ga 6.150 5.848 10.470
Ga 2.615 2.813 5.834
Ho 0.000 0.000 0.000
Ho 3.862 6.654 8.693
Ga 2.277 1.967 8.725
Ga 4.614 4.721 6.626
Ga 2.063 -1.637 4.482
Ho 4.668 1.043 10.292
Ga 1.855 4.682 7.882
Ho 2.222 5.645 5.059
Ga 0.740 0.840 4.881
Ga 5.036 2.005 7.470
Ga 3.173 0.875 3.774
Ga -0.335 -0.838 2.863
Ga 3.717 5.813 11.578
Ho 3.029 0.034 6.658
Ga 2.397 -0.799 1.620
Ga 4.276 3.875 9.517
Ga 5.852 5.101 13.020
```

***

# 2
A plane-wave DFT calculation with meta-GGA SCAN was carried out for Ho5Ga3 at its PBEsol-relaxed geometry.

## Properties
Magnetization (μB/cell): 0.0
Volume (Å³ per cell): 391.41
Space group: No. 193
Relative energy among the computed polymorphs (eV/atom): 0.034
Calculated density (Mg/m³): 8.772

The structure in extended XYZ format:
```
16
Lattice="6.385 0.000 0.000 0.000 8.414 0.000 0.000 -4.207 7.287" Properties=species:S:1:pos:R:3 pbc="T T T"
Ho 4.788 -1.021 1.769
Ho 1.596 -3.185 5.517
Ho 3.192 0.000 4.858
Ga 4.788 1.689 2.926
Ho 1.596 1.021 1.769
Ga 4.788 5.035 0.000
Ho 4.788 2.043 0.000
Ga 4.788 -2.518 4.361
Ho 0.000 4.207 2.429
Ho 4.788 3.185 5.517
Ho 0.000 0.000 4.858
Ga 1.596 2.518 4.361
Ga 1.596 -1.689 2.926
Ga 1.596 3.379 0.000
Ho 3.192 4.207 2.429
Ho 1.596 6.371 0.000
```

***

# 3
A plane-wave DFT calculation with meta-GGA SCAN was carried out for Ho3Ga5 at its PBEsol-relaxed geometry.

## Properties
Magnetization (μB/cell): 0.0
Volume (Å³ per cell): 638.27
VASP energy (eV/atom): -29.34
Space group: No. 62
Calculated density (Mg/m³): 8.777

The structure in extended XYZ format:
```
32
Lattice="5.974 0.000 0.000 0.000 9.497 0.000 0.000 0.000 11.249" Properties=species:S:1:pos:R:3 pbc="T T T"
Ho 5.318 9.409 7.290
Ga 5.194 2.374 5.688
Ho 2.331 0.088 9.584
Ga 2.239 5.248 6.642
Ga 3.736 4.250 4.608
Ho 0.656 4.661 3.960
Ga 1.028 7.123 8.414
Ga 5.363 7.123 2.251
Ho 3.643 9.409 1.665
Ho 0.919 2.374 0.827
Ga 3.736 0.499 4.608
Ga 5.226 0.499 10.232
Ho 5.318 4.837 7.290
Ho 5.056 7.123 10.422
Ga 3.767 2.374 0.064
Ga 1.959 7.123 2.789
Ga 4.015 2.374 8.460
Ho 2.068 2.374 6.452
Ga 0.611 2.374 8.998
Ga 0.749 5.248 1.017
Ga 0.749 8.998 1.017
Ga 2.239 8.998 6.642
Ga 2.376 2.374 3.374
Ga 5.226 4.250 10.232
Ga 0.780 7.123 5.561
Ga 3.598 7.123 7.876
Ho 2.331 4.661 9.584
Ga 4.946 2.374 2.836
Ho 0.656 0.088 3.960
Ho 3.643 4.837 1.665
Ho 3.906 7.123 4.797
Ga 2.207 7.123 11.186
```

***

# 4
A plane-wave DFT calculation with meta-GGA SCAN was carried out for HoGa3 at its PBEsol-relaxed geometry.

## Properties
Magnetization (μB/cell): 0.0
Volume (Å³ per cell): 73.11
VASP energy (eV/atom): -25.11
Space group: No. 221
Calculated density (Mg/m³): 8.497

The structure in extended XYZ format:
```
4
Lattice="4.181 0.000 0.000 0.000 4.181 0.000 0.000 0.000 4.181" Properties=species:S:1:pos:R:3 pbc="T T T"
Ga 2.091 0.000 2.091
Ga 2.091 2.091 0.000
Ga 0.000 2.091 2.091
Ho 0.000 0.000 0.000
```

***

# 5
A plane-wave DFT calculation with meta-GGA SCAN was carried out for Ho3Ga at its PBEsol-relaxed geometry.

## Properties
Magnetization (μB/cell): 0.6
Volume (Å³ per cell): 97.38
VASP energy (eV/atom): -41.14
Space group: No. 221
Calculated density (Mg/m³): 9.626

The structure in extended XYZ format:
```
4
Lattice="-1.783 0.859 -4.153 -4.184 0.379 1.874 0.692 4.504 0.634" Properties=species:S:1:pos:R:3 pbc="T T T"
Ho -2.984 0.619 -1.140
Ho -0.545 2.681 -1.760
Ga 0.000 0.000 0.000
Ho -1.746 2.442 1.254
```

***

# 6
A plane-wave DFT calculation with meta-GGA SCAN was carried out for Ho3Ga8Ir3 at its PBEsol-relaxed geometry.

## Properties
Magnetization (μB/cell): 0.0
Volume (Å³ per cell): 243.21
VASP energy (eV/atom): -35.87
Space group: No. 71
Calculated density (Mg/m³): 11.124

The structure in extended XYZ format:
```
14
Lattice="4.133 0.000 0.000 2.067 7.774 0.085 2.067 1.697 7.587" Properties=species:S:1:pos:R:3 pbc="T T T"
Ga 6.200 5.565 6.112
Ga 6.200 7.134 4.176
Ga 4.133 7.636 2.661
Ga 4.133 5.283 0.755
Ir 2.067 3.036 5.934
Ho 4.133 1.608 1.303
Ho 4.133 4.735 3.836
Ga 2.067 2.337 3.497
Ga 2.067 3.906 1.560
Ir 2.067 6.435 1.739
Ga 4.133 1.835 5.011
Ir 2.067 0.000 0.000
Ga 4.133 4.188 6.918
Ho 4.133 7.863 6.370
```

***

# 7
A plane-wave DFT calculation with meta-GGA SCAN was carried out for LiHo2Ga at its PBEsol-relaxed geometry.

## Properties
Magnetization (μB/cell): 0.0
Volume (Å³ per cell): 87.98
VASP energy (eV/atom): -29.53
Space group: No. 225
Calculated density (Mg/m³): 7.673

The structure in extended XYZ format:
```
4
Lattice="4.992 0.000 0.000 2.496 4.323 0.000 2.496 1.441 4.076" Properties=species:S:1:pos:R:3 pbc="T T T"
Li 0.000 0.000 0.000
Ho 2.496 1.441 1.019
Ho 7.488 4.323 3.057
Ga 4.992 2.882 2.038
```

***

# 8
A plane-wave DFT calculation with meta-GGA SCAN was carried out for HoMgGa at its PBEsol-relaxed geometry.

## Properties
Magnetization (μB/cell): 0.0
Volume (Å³ per cell): 193.86
VASP energy (eV/atom): -23.99
Space group: No. 189
Calculated density (Mg/m³): 6.654

The structure in extended XYZ format:
```
9
Lattice="4.369 0.000 0.000 0.000 7.158 0.000 0.000 -3.579 6.199" Properties=species:S:1:pos:R:3 pbc="T T T"
Ga 0.000 3.579 2.066
Ho 2.184 1.528 2.647
Mg 0.000 1.747 0.000
Ga 2.184 0.000 0.000
Mg 0.000 -0.873 1.513
Ho 2.184 4.101 0.000
Ga 0.000 0.000 4.133
Mg 0.000 2.706 4.687
Ho 2.184 -2.051 3.552
```

***

# 9
A plane-wave DFT calculation with meta-GGA SCAN was carried out for Ho2MgGa at its PBEsol-relaxed geometry.

## Properties
Magnetization (μB/cell): 0.0
Volume (Å³ per cell): 91.70
VASP energy (eV/atom): -30.20
Space group: No. 225
Calculated density (Mg/m³): 7.676

The structure in extended XYZ format:
```
4
Lattice="5.062 0.000 0.000 2.531 4.384 0.000 2.531 1.461 4.133" Properties=species:S:1:pos:R:3 pbc="T T T"
Mg 0.000 0.000 0.000
Ho 2.531 1.461 1.033
Ga 5.062 2.922 2.066
Ho 7.593 4.384 3.100
```

***

# 10
A plane-wave DFT calculation with meta-GGA SCAN was carried out for HoGaNi at its PBEsol-relaxed geometry.

## Properties
Magnetization (μB/cell): 0.0
Volume (Å³ per cell): 203.15
VASP energy (eV/atom): -27.90
Space group: No. 62
Calculated density (Mg/m³): 9.591

The structure in extended XYZ format:
```
12
Lattice="-4.089 0.866 0.481 -1.049 -6.202 2.242 1.268 2.229 6.761" Properties=species:S:1:pos:R:3 pbc="T T T"
Ga -3.319 -1.236 1.611
Ho -1.179 -2.331 3.371
Ni -3.690 -3.562 2.637
Ga -0.470 0.450 4.388
Ni -2.784 0.210 3.549
Ho -0.801 0.512 1.467
Ho -2.691 -0.776 6.113
Ga -0.552 -1.871 7.873
Ni -1.086 -3.317 5.935
Ni -0.180 0.455 6.847
Ga -3.400 -3.557 5.096
Ho -3.069 -3.619 8.017
```

***

# 11
A plane-wave DFT calculation with meta-GGA SCAN was carried out for HoGa4Ni at its PBEsol-relaxed geometry.

## Properties
Magnetization (μB/cell): 0.0
Volume (Å³ per cell): 195.73
VASP energy (eV/atom): -22.37
Space group: No. 63
Calculated density (Mg/m³): 8.526

The structure in extended XYZ format:
```
12
Lattice="4.037 0.000 0.000 0.000 6.459 0.000 -2.019 0.000 7.505" Properties=species:S:1:pos:R:3 pbc="T T T"
Ga 0.000 1.615 1.046
Ho 0.000 4.845 1.802
Ga 2.019 3.230 0.000
Ga 0.000 3.558 4.728
Ga 2.019 4.845 6.459
Ga 2.019 0.000 0.000
Ni 0.000 1.615 3.360
Ga 2.019 0.328 2.777
Ga 2.019 2.902 2.777
Ga 0.000 6.132 4.728
Ni 2.019 4.845 4.145
Ho 2.019 1.615 5.704
```

***

# 12
A plane-wave DFT calculation with meta-GGA SCAN was carried out for Ho4Ga12Ni at its PBEsol-relaxed geometry.

## Properties
Magnetization (μB/cell): 0.0
Volume (Å³ per cell): 298.07
VASP energy (eV/atom): -24.66
Space group: No. 229
Calculated density (Mg/m³): 8.663

The structure in extended XYZ format:
```
17
Lattice="7.289 0.000 0.000 -2.430 6.872 0.000 -2.430 -3.436 5.951" Properties=species:S:1:pos:R:3 pbc="T T T"
Ga 3.463 -2.449 4.242
Ga 1.215 4.295 1.488
Ga 1.215 -0.859 4.463
Ga 3.463 4.898 0.000
Ho -1.215 -1.718 2.976
Ga -3.463 2.449 4.242
Ni 0.000 0.000 0.000
Ga 3.644 0.000 2.976
Ho 3.644 0.000 0.000
Ga -1.215 3.436 2.976
Ga 1.396 -0.987 1.709
Ho 1.215 1.718 2.976
Ga 3.644 2.577 1.488
Ga -1.396 0.987 1.709
Ho -1.215 3.436 0.000
Ga -1.215 0.859 4.463
Ga 1.396 1.974 0.000
```

***

# 13
A plane-wave DFT calculation with meta-GGA SCAN was carried out for Ho2GaNi2 at its PBEsol-relaxed geometry.

## Properties
Magnetization (μB/cell): 0.0
Volume (Å³ per cell): 87.04
VASP energy (eV/atom): -29.98
Space group: No. 71
Calculated density (Mg/m³): 9.863

The structure in extended XYZ format:
```
5
Lattice="-1.983 2.083 2.969 0.978 -1.811 4.801 3.206 2.641 3.167" Properties=species:S:1:pos:R:3 pbc="T T T"
Ni 0.581 0.420 5.849
Ga 0.000 0.000 0.000
Ho 1.354 2.245 7.962
Ho 0.847 0.668 2.974
Ni 1.619 2.494 5.088
```

***

# 14
A plane-wave DFT calculation with meta-GGA SCAN was carried out for Ho3Ga2Ni6 at its PBEsol-relaxed geometry.

## Properties
Magnetization (μB/cell): 0.0
Volume (Å³ per cell): 331.46
VASP energy (eV/atom): -25.75
Space group: No. 229
Calculated density (Mg/m³): 9.883

The structure in extended XYZ format:
```
22
Lattice="7.551 0.000 0.000 -2.517 7.119 0.000 -2.517 -3.560 6.166" Properties=species:S:1:pos:R:3 pbc="T T T"
Ga -1.259 3.560 0.000
Ho 3.575 5.056 0.000
Ga 3.776 0.000 0.000
Ni 0.892 4.709 0.000
Ni 0.000 3.616 2.087
Ni -2.517 3.504 2.087
Ni 4.143 2.410 0.000
Ni 2.517 -0.056 4.078
Ni 0.892 -2.355 4.078
Ho 1.459 2.063 0.000
Ho 3.575 -2.528 4.379
Ni 4.143 -1.205 2.087
Ho 1.459 -1.031 1.787
Ni -2.517 0.056 4.078
Ni 2.517 3.560 1.991
Ho -1.459 1.031 1.787
Ho -3.575 2.528 4.379
Ni 3.409 1.205 2.087
Ga 1.259 1.780 3.083
Ga -1.259 -1.780 3.083
Ni -0.892 2.355 4.078
Ni 0.000 0.000 4.175
```

***

# 15
A plane-wave DFT calculation with meta-GGA SCAN was carried out for Ho6GaNi2 at its PBEsol-relaxed geometry.

## Properties
Magnetization (μB/cell): 0.0
Volume (Å³ per cell): 411.60
VASP energy (eV/atom): -38.48
Space group: No. 71
Calculated density (Mg/m³): 9.494

The structure in extended XYZ format:
```
18
Lattice="8.126 0.008 0.022 -3.147 7.491 -0.022 2.715 3.600 6.760" Properties=species:S:1:pos:R:3 pbc="T T T"
Ho 5.367 3.933 2.213
Ga 0.000 0.000 0.000
Ho 5.117 5.096 5.542
Ho 5.301 7.285 2.916
Ni 3.210 3.271 0.834
Ni 4.601 2.348 4.411
Ho 7.247 8.305 5.542
Ho 0.290 8.518 2.192
Ho -0.708 5.872 0.258
Ho 2.392 3.814 3.844
Ho 0.446 2.794 1.218
Ho 2.326 7.166 4.546
Ni 4.483 7.828 5.926
Ho 2.576 6.003 1.218
Ho 7.403 2.581 4.568
Ga -0.216 5.546 3.369
Ho 8.401 5.227 6.502
Ni 6.239 1.260 2.371
```

***

# 16
A plane-wave DFT calculation with meta-GGA SCAN was carried out for Ho4Ga21Ni10 at its PBEsol-relaxed geometry.

## Properties
Magnetization (μB/cell): 0.0
Volume (Å³ per cell): 516.34
VASP energy (eV/atom): -20.60
Space group: No. 12
Calculated density (Mg/m³): 8.718

The structure in extended XYZ format:
```
35
Lattice="4.021 0.000 0.000 2.010 10.280 0.004 2.010 1.609 12.493" Properties=species:S:1:pos:R:3 pbc="T T T"
Ga 2.010 3.387 2.574
Ho 4.021 9.980 8.451
Ga 4.021 8.308 1.649
Ga 4.021 8.045 6.227
Ga 2.010 1.843 6.208
Ho 4.021 1.909 4.046
Ga 6.031 9.054 3.701
Ni 2.010 2.038 11.161
Ga 6.031 11.308 9.948
Ga 2.010 6.600 5.111
Ga 2.010 0.000 0.000
Ni 4.021 1.836 7.640
Ho 6.031 5.528 10.412
Ho 2.010 6.360 2.084
Ni 6.031 9.851 1.335
Ni 4.021 4.148 1.438
Ga 6.031 8.501 9.922
Ga 4.021 9.938 11.835
Ni 4.021 7.741 11.058
Ga 4.021 5.030 3.812
Ga 4.021 3.844 6.269
Ga 4.021 1.951 0.661
Ga 2.010 0.580 2.548
Ni 6.031 7.776 7.553
Ga 2.010 2.835 8.795
Ga 4.021 6.858 8.685
Ga 6.031 5.288 7.386
Ni 2.010 4.112 4.943
Ni 4.021 4.382 8.563
Ga 2.010 4.135 0.037
Ga 6.031 7.754 12.459
Ni 4.021 10.052 4.857
Ni 4.021 7.506 3.933
Ga 6.031 10.046 6.289
Ga 4.021 3.580 10.847
```

***

# 17
A plane-wave DFT calculation with meta-GGA SCAN was carried out for Ho2Ga3Ni at its PBEsol-relaxed geometry.

## Properties
Magnetization (μB/cell): 0.0
Volume (Å³ per cell): 109.03
VASP energy (eV/atom): -27.95
Space group: No. 8
Calculated density (Mg/m³): 9.103

The structure in extended XYZ format:
```
6
Lattice="4.279 0.000 0.000 2.140 4.997 0.010 2.140 0.284 5.099" Properties=species:S:1:pos:R:3 pbc="T T T"
Ni 6.419 3.284 3.676
Ho 4.279 4.021 1.496
Ga 4.279 1.195 0.475
Ho 4.279 1.216 3.586
Ga 2.140 2.027 1.611
Ga 4.279 4.100 4.483
```

***

# 18
A plane-wave DFT calculation with meta-GGA SCAN was carried out for Ho3GaO6 at its PBEsol-relaxed geometry.

## Properties
Magnetization (μB/cell): 0.0
Volume (Å³ per cell): 256.11
VASP energy (eV/atom): -23.57
Space group: No. 36
Calculated density (Mg/m³): 8.565

The structure in extended XYZ format:
```
20
Lattice="5.346 0.000 0.000 0.000 7.009 0.004 0.000 -1.556 6.834" Properties=species:S:1:pos:R:3 pbc="T T T"
O 4.457 5.154 1.483
O 1.670 5.617 2.898
O 1.670 3.878 0.717
O 1.854 6.690 0.258
Ho 0.391 3.601 2.722
O 1.592 3.459 4.627
O 4.343 -0.164 3.941
Ho 0.128 3.501 6.240
O 4.527 -1.237 6.580
O 4.343 1.575 6.121
O 1.592 1.712 2.436
Ho 2.801 1.952 0.598
Ho 0.128 0.149 2.037
Ga 2.641 5.356 1.322
O 1.784 0.299 5.355
O 4.265 1.994 2.211
Ho 3.064 1.852 4.116
Ho 2.801 5.304 4.802
Ga 5.314 0.097 5.516
O 4.265 3.742 4.402
```